Computed, not measured: LiZn6Cu6 after structural relaxation at the GGA-PBE level of DFT.

## Properties
**Crystal system**: orthorhombic
**Energy relative to the elements**: -0.10 eV per atom
**Energy**: -2.728 eV per atom
**N(E_F)**: 3.01 states/eV/f.u.

Cell: 4.989 6.549 6.549 Å, 80.88 67.61 67.61°
Sites, in units of the cell vectors:
Zn: 0.658 0.342 0.342
Zn: 0.342 0.658 0.658
Zn: 0.000 0.335 0.665
Zn: 0.680 0.820 0.820
Zn: 0.000 0.665 0.335
Zn: 0.320 0.180 0.180
Cu: 0.500 0.238 0.762
Cu: 0.000 0.000 0.500
Cu: 0.500 0.000 0.500
Cu: 0.500 0.500 0.000
Cu: 0.500 0.762 0.238
Cu: 0.000 0.500 0.000
Li: 0.000 0.000 0.000